Entry from Alexandria: Zr3Zn at its PBEsol-relaxed geometry (SCAN).

abc: 4.224 4.224 5.331
angles: 113.34 113.34 90.00
Element x y z (fractional)
Zr1 0.750 0.250 0.500
Zr2 0.500 0.500 0.000
Zr3 0.250 0.750 0.500
Zn1 0.000 0.000 0.000

Output
The magnetic moment is 0.00 μB/f.u. For the total DFT energy (no corrections), the calculation gives -26.556 eV/atom. The space-group type is I4/mmm. As for the density: 7.15 Mg/m³. As for the energy of formation from the pure elements: -0.153 eV/atom.

***

Entry from Alexandria: TaV at its PBEsol-relaxed geometry (SCAN).

abc: 2.778 2.778 4.269
angles: 90.00 90.00 110.28
Element x y z (fractional)
V1 0.500 0.500 0.500
Ta1 0.000 0.000 0.000

Output
The magnetic moment is 0.00 μB/f.u. For the total DFT energy (no corrections), the calculation gives -41.968 eV/atom. The space-group type is Cmmm. As for the density: 12.46 Mg/m³. As for the energy of formation from the pure elements: 0.068 eV/atom.

***

Entry from Alexandria: Ta2TlCd at its PBEsol-relaxed geometry (SCAN).

abc: 2.897 2.897 8.975
angles: 90.00 90.00 90.00
Element x y z (fractional)
Ta1 0.000 0.000 0.253
Ta2 0.000 0.000 0.747
Tl1 0.500 0.500 0.000
Cd1 0.500 0.500 0.500

Output
The magnetic moment is 0.00 μB/f.u. For the total DFT energy (no corrections), the calculation gives -58.564 eV/atom. The space-group type is P4/mmm. As for the density: 14.96 Mg/m³. As for the energy of formation from the pure elements: 0.421 eV/atom.

***

Entry from Alexandria: TaAg2As at its PBEsol-relaxed geometry (SCAN).

abc: 2.792 4.827 5.717
angles: 113.16 101.21 96.78
Element x y z (fractional)
Ta1 0.000 0.500 0.000
As1 0.500 0.000 0.000
Ag1 0.000 0.000 0.500
Ag2 0.500 0.500 0.500

Output
The magnetic moment is 0.00 μB/f.u. For the total DFT energy (no corrections), the calculation gives -37.163 eV/atom. The space-group type is C2/m. As for the density: 11.54 Mg/m³. As for the energy of formation from the pure elements: 0.214 eV/atom.